Density functional theory data (PBE) for an optimized crystal structure of TiFeRe2.

Cell and atoms, written as CIF:
```
data_TiFeRe2
_chemical_formula_sum 'Ti4 Fe4 Re8'
_cell_length_a 7.034
_cell_length_b 7.034
_cell_length_c 4.969
_cell_angle_alpha 90.00
_cell_angle_beta 90.00
_cell_angle_gamma 90.00
_symmetry_space_group_name_H-M 'I -4 2 d'
_symmetry_Int_Tables_number 122
_symmetry_space_group_name_Hall 'I -4 2bw'
loop_
_atom_site_label
_atom_site_type_symbol
_atom_site_fract_x
_atom_site_fract_y
_atom_site_fract_z
_atom_site_occupancy
Ti1 Ti 0.000 0.000 0.000 1
Fe1 Fe 0.000 0.000 0.500 1
Re1 Re 0.211 0.250 0.625 1
```

Summary:
**N(E_F)**: 4.26 states/eV/f.u.
**Theoretical density**: 12.87 Mg/m³
**Formation energy from the elements**: 0.507 eV/atom